1.
# Ca2LaWN4, relaxed, DFT PBE
# ρ (Mg/m³): 5.96
# Symmetry: Cmcm, No. 63
# E (eV per atom): -7.791
# DOS(E_F) (states/eV per atom): 0.293
# Crystal system: orthorhombic
data_Ca2LaWN4
_cell_length_a 6.336
_cell_length_b 6.336
_cell_length_c 12.124
_cell_angle_alpha 90.00
_cell_angle_beta 90.00
_cell_angle_gamma 148.31
_symmetry_space_group_name_H-M 'P 1'
_symmetry_Int_Tables_number 1
_symmetry_space_group_name_Hall 'P 1'
loop_
_atom_site_label
_atom_site_fract_x
_atom_site_fract_y
_atom_site_fract_z
Ca1 0.124 0.876 0.532
Ca2 0.124 0.876 0.968
Ca3 0.876 0.124 0.032
Ca4 0.876 0.124 0.468
La1 0.416 0.584 0.750
La2 0.584 0.416 0.250
W1 0.325 0.675 0.250
W2 0.675 0.325 0.750
N1 0.083 0.917 0.750
N2 0.231 0.769 0.133
N3 0.231 0.769 0.367
N4 0.500 0.500 0.000
N5 0.500 0.500 0.500
N6 0.769 0.231 0.633
N7 0.769 0.231 0.867
N8 0.917 0.083 0.250

=====

2.
# TbHo6S8, relaxed, DFT PBE
# ρ (Mg/m³): 7.07
# Symmetry: Fm-3m, No. 225
# E (eV per atom): -6.381
# DOS(E_F) (states/eV per atom): 0.394
# Crystal system: cubic
data_TbHo6S8
_cell_length_a 7.758
_cell_length_b 7.758
_cell_length_c 7.758
_cell_angle_alpha 60.00
_cell_angle_beta 60.00
_cell_angle_gamma 60.00
_symmetry_space_group_name_H-M 'P 1'
_symmetry_Int_Tables_number 1
_symmetry_space_group_name_Hall 'P 1'
loop_
_atom_site_label
_atom_site_fract_x
_atom_site_fract_y
_atom_site_fract_z
Tb1 0.000 0.000 0.000
Ho1 0.000 0.000 0.500
Ho2 0.000 0.500 0.000
Ho3 0.000 0.500 0.500
Ho4 0.500 0.000 0.000
Ho5 0.500 0.000 0.500
Ho6 0.500 0.500 0.000
S1 0.250 0.250 0.250
S2 0.253 0.253 0.747
S3 0.253 0.747 0.253
S4 0.253 0.747 0.747
S5 0.747 0.253 0.253
S6 0.747 0.253 0.747
S7 0.747 0.747 0.253
S8 0.750 0.750 0.750

=====

3.
# SiTc12B6, relaxed, DFT PBE
# ρ (Mg/m³): 9.53
# Symmetry: Im-3, No. 204
# E (eV per atom): -9.291
# DOS(E_F) (states/eV per atom): 0.679
# Crystal system: cubic
data_SiTc12B6
_cell_length_a 6.597
_cell_length_b 6.597
_cell_length_c 6.597
_cell_angle_alpha 109.47
_cell_angle_beta 109.47
_cell_angle_gamma 109.47
_symmetry_space_group_name_H-M 'P 1'
_symmetry_Int_Tables_number 1
_symmetry_space_group_name_Hall 'P 1'
loop_
_atom_site_label
_atom_site_fract_x
_atom_site_fract_y
_atom_site_fract_z
Si1 0.000 0.000 0.000
Tc1 0.114 0.300 0.813
Tc2 0.187 0.487 0.300
Tc3 0.187 0.886 0.700
Tc4 0.300 0.187 0.487
Tc5 0.300 0.813 0.114
Tc6 0.487 0.300 0.187
Tc7 0.513 0.700 0.813
Tc8 0.700 0.187 0.886
Tc9 0.700 0.813 0.513
Tc10 0.813 0.114 0.300
Tc11 0.813 0.513 0.700
Tc12 0.886 0.700 0.187
B1 0.117 0.500 0.617
B2 0.383 0.883 0.500
B3 0.500 0.383 0.883
B4 0.500 0.617 0.117
B5 0.617 0.117 0.500
B6 0.883 0.500 0.383

=====

4.
# NiPSe2N, relaxed, DFT PBE
# ρ (Mg/m³): 5.60
# Symmetry: P4/mmm, No. 123
# DOS(E_F) (states/eV per atom): 0.686
# E above lowest polymorph (eV per atom): 0.000
# Crystal system: tetragonal
data_NiPSe2N
_cell_length_a 4.945
_cell_length_b 4.945
_cell_length_c 3.172
_cell_angle_alpha 90.00
_cell_angle_beta 90.00
_cell_angle_gamma 90.00
_symmetry_space_group_name_H-M 'P 1'
_symmetry_Int_Tables_number 1
_symmetry_space_group_name_Hall 'P 1'
loop_
_atom_site_label
_atom_site_fract_x
_atom_site_fract_y
_atom_site_fract_z
Ni1 0.000 0.000 0.000
P1 0.500 0.500 0.500
Se1 0.000 0.500 0.500
Se2 0.500 0.000 0.500
N1 0.500 0.500 0.000

=====

5.
# Pu4AsPtS2, relaxed, DFT PBE
# ρ (Mg/m³): 11.51
# Symmetry: P2/m, No. 10
# E (eV per atom): -10.730
# DOS(E_F) (states/eV per atom): 4.896
# Crystal system: monoclinic
data_Pu4AsPtS2
_cell_length_a 7.064
_cell_length_b 3.995
_cell_length_c 7.092
_cell_angle_alpha 90.00
_cell_angle_beta 109.16
_cell_angle_gamma 90.00
_symmetry_space_group_name_H-M 'P 1'
_symmetry_Int_Tables_number 1
_symmetry_space_group_name_Hall 'P 1'
loop_
_atom_site_label
_atom_site_fract_x
_atom_site_fract_y
_atom_site_fract_z
Pu1 0.243 0.000 0.242
Pu2 0.252 0.500 0.756
Pu3 0.748 0.500 0.244
Pu4 0.757 0.000 0.758
As1 0.500 0.500 0.500
Pt1 0.000 0.000 0.500
S1 0.000 0.500 0.000
S2 0.500 0.000 0.000

=====

6.
# K2OsW, relaxed, DFT PBE
# ρ (Mg/m³): 8.87
# Symmetry: I4/mmm, No. 139
# Energy relative to the elements (eV/atom): 1.402
# DOS(E_F) (states/eV per atom): 0.870
# E above lowest polymorph (eV per atom): 0.587
# Crystal system: tetragonal
data_K2OsW
_cell_length_a 3.782
_cell_length_b 3.782
_cell_length_c 11.832
_cell_angle_alpha 90.00
_cell_angle_beta 90.00
_cell_angle_gamma 90.00
_symmetry_space_group_name_H-M 'P 1'
_symmetry_Int_Tables_number 1
_symmetry_space_group_name_Hall 'P 1'
loop_
_atom_site_label
_atom_site_fract_x
_atom_site_fract_y
_atom_site_fract_z
K1 0.000 0.500 0.250
K2 0.000 0.500 0.750
K3 0.500 0.000 0.250
K4 0.500 0.000 0.750
Os1 0.000 0.000 0.000
Os2 0.500 0.500 0.500
W1 0.000 0.000 0.500
W2 0.500 0.500 0.000

=====

7.
# TbHo4Cd5, relaxed, DFT PBE
# ρ (Mg/m³): 8.81
# Symmetry: P4/mmm, No. 123
# Energy relative to the elements (eV/atom): -0.317
# DOS(E_F) (states/eV per atom): 1.107
# Crystal system: tetragonal
data_TbHo4Cd5
_cell_length_a 3.729
_cell_length_b 3.729
_cell_length_c 18.720
_cell_angle_alpha 90.00
_cell_angle_beta 90.00
_cell_angle_gamma 90.00
_symmetry_space_group_name_H-M 'P 1'
_symmetry_Int_Tables_number 1
_symmetry_space_group_name_Hall 'P 1'
loop_
_atom_site_label
_atom_site_fract_x
_atom_site_fract_y
_atom_site_fract_z
Tb1 0.000 0.000 0.000
Ho1 0.000 0.000 0.201
Ho2 0.000 0.000 0.400
Ho3 0.000 0.000 0.600
Ho4 0.000 0.000 0.799
Cd1 0.500 0.500 0.102
Cd2 0.500 0.500 0.301
Cd3 0.500 0.500 0.500
Cd4 0.500 0.500 0.699
Cd5 0.500 0.500 0.898

=====

8.
# Mg2PtAu2, relaxed, DFT PBE
# ρ (Mg/m³): 10.40
# Symmetry: Cmmm, No. 65
# Energy relative to the elements (eV/atom): -0.184
# DOS(E_F) (states/eV per atom): 0.366
# E above lowest polymorph (eV per atom): 0.272
# Crystal system: orthorhombic
data_Mg2PtAu2
_cell_length_a 4.713
_cell_length_b 7.800
_cell_length_c 5.540
_cell_angle_alpha 90.00
_cell_angle_beta 90.00
_cell_angle_gamma 90.00
_symmetry_space_group_name_H-M 'P 1'
_symmetry_Int_Tables_number 1
_symmetry_space_group_name_Hall 'P 1'
loop_
_atom_site_label
_atom_site_fract_x
_atom_site_fract_y
_atom_site_fract_z
Mg1 0.000 0.000 0.247
Mg2 0.000 0.000 0.753
Mg3 0.500 0.500 0.247
Mg4 0.500 0.500 0.753
Pt1 0.000 0.500 0.000
Pt2 0.500 0.000 0.000
Au1 0.000 0.329 0.500
Au2 0.000 0.671 0.500
Au3 0.500 0.171 0.500
Au4 0.500 0.829 0.500